## YZn3 (PBE)

Data for crystalline YZn3 at its relaxed geometry.

Geometry as POSCAR:
```
YZn3
1.0
3.326 0.000 0.000
0.000 3.326 0.000
0.000 0.000 6.818
Y Zn
1 3
direct
0.000 0.000 0.000
0.000 0.000 0.500
0.500 0.500 0.292
0.500 0.500 0.708
```

Computed properties:
DOS at the Fermi energy in states/eV per cell: 1.855
Formation enthalpy at 0 K in kJ per mole of atoms: -16.1
Total DFT energy (no corrections) in Ha/atom: -0.10062